{"formula": "RbIrRhO6", "functional": "GGA-PBE", "state": "optimized geometry", "m_tot_mub_per_fu": 1.01, "cell": [[5.3291, 0.0000, 0.0000], [-2.6646, 4.6151, 0.0000], [0.0000, 0.0000, 6.2066]], "species": ["Rb", "Ir", "Rh", "O", "O", "O", "O", "O", "O"], "frac_coords": [[0.0000, 0.0000, 0.0000], [0.6667, 0.3333, 0.5000], [0.3333, 0.6667, 0.5000], [0.3956, 0.0072, 0.6712], [0.3956, 0.3884, 0.3288], [0.6116, 0.0072, 0.3288], [0.6116, 0.6044, 0.6712], [0.9928, 0.3884, 0.6712], [0.9928, 0.6044, 0.3288]]}


{"formula": "RbIr2SO", "functional": "GGA-PBE", "state": "optimized geometry", "m_tot_mub_per_fu": 0.00, "de_polymorph_mev_per_atom": 0.0, "cell": [[4.3134, 0.0000, 0.0000], [0.0000, 4.3134, 0.0000], [0.0000, 0.0000, 5.6319]], "species": ["Rb", "Ir", "Ir", "S", "O"], "frac_coords": [[0.0000, 0.0000, 0.0000], [0.0000, 0.5000, 0.5000], [0.5000, 0.0000, 0.5000], [0.5000, 0.5000, 0.5000], [0.5000, 0.5000, 0.0000]]}


{"formula": "RbIr2SO", "functional": "GGA-PBE", "state": "optimized geometry", "m_tot_mub_per_fu": 0.00, "de_polymorph_mev_per_atom": 85.5, "cell": [[4.2705, 0.0000, 0.0000], [0.0000, 4.2705, 0.0000], [0.0000, 0.0000, 7.5734]], "species": ["Rb", "Ir", "Ir", "S", "O"], "frac_coords": [[0.0000, 0.0000, 0.0000], [0.0000, 0.5000, 0.5000], [0.5000, 0.0000, 0.5000], [0.0000, 0.0000, 0.5000], [0.5000, 0.5000, 0.0000]]}


{"formula": "RbScIrO6", "functional": "GGA-PBE", "state": "optimized geometry", "m_tot_mub_per_fu": 0.87, "cell": [[5.4005, 0.0000, 0.0000], [-2.7003, 4.6770, 0.0000], [0.0000, 0.0000, 6.2957]], "species": ["Rb", "Sc", "Ir", "O", "O", "O", "O", "O", "O"], "frac_coords": [[0.0000, 0.0000, 0.0000], [0.3333, 0.6667, 0.5000], [0.6667, 0.3333, 0.5000], [0.3995, 0.0294, 0.6729], [0.3995, 0.3701, 0.3271], [0.6299, 0.0294, 0.3271], [0.6299, 0.6005, 0.6729], [0.9706, 0.3701, 0.6729], [0.9706, 0.6005, 0.3271]]}


{"formula": "Rb2ScIrO6", "functional": "GGA-PBE", "state": "optimized geometry", "m_tot_mub_per_fu": 0.00, "cell": [[0.0000, 4.0835, 4.0835], [4.0835, 0.0000, 4.0835], [4.0835, 4.0835, 0.0000]], "species": ["Rb", "Rb", "Sc", "Ir", "O", "O", "O", "O", "O", "O"], "frac_coords": [[0.2500, 0.2500, 0.2500], [0.7500, 0.7500, 0.7500], [0.0000, 0.0000, 0.0000], [0.5000, 0.5000, 0.5000], [0.2629, 0.2629, 0.7371], [0.2629, 0.7371, 0.2629], [0.2629, 0.7371, 0.7371], [0.7371, 0.2629, 0.2629], [0.7371, 0.2629, 0.7371], [0.7371, 0.7371, 0.2629]]}


{"formula": "RbSiIrO6", "functional": "GGA-PBE", "state": "optimized geometry", "m_tot_mub_per_fu": 0.00, "cell": [[5.0048, 0.0000, 0.0000], [-2.5024, 4.3343, 0.0000], [0.0000, 0.0000, 6.4026]], "species": ["Rb", "Si", "Ir", "O", "O", "O", "O", "O", "O"], "frac_coords": [[0.0000, 0.0000, 0.0000], [0.6667, 0.3333, 0.5000], [0.3333, 0.6667, 0.5000], [0.4046, 0.0177, 0.6643], [0.4046, 0.3869, 0.3357], [0.6131, 0.0177, 0.3357], [0.6131, 0.5954, 0.6643], [0.9823, 0.3869, 0.6643], [0.9823, 0.5954, 0.3357]]}


| no. | theoretical density (g cm⁻³) | E (hartree per atom) | E_form (uncorrected) (eV/atom) |
| --- | --- | --- | --- |
| 1 | 5.2 | -0.2230 | -0.854 |
| 2 | 8.2 | -0.1814 | 0.620 |
| 3 | 6.2 | -0.1782 | 0.705 |
| 4 | 4.4 | -0.2408 | -1.453 |
| 5 | 6.1 | -0.2316 | -1.615 |
| 6 | 4.8 | -0.2359 | -1.418 |